[1]
Li2SiOs at its PBEsol-relaxed geometry, computed with meta-GGA SCAN.

Unit cell a=2.8611 b=3.9715 c=4.4647 alpha=90.00 beta=90.00 gamma=90.00
Last column: magnetic moment on the atom in μB.
Positions (direct):
Si 0.0000 0.5000 0.5000  0.00
Os 0.5000 0.0000 0.5000  0.33
Li 0.0000 0.0000 0.0000  0.00
Li 0.5000 0.5000 0.0000  0.01

* VASP energy: -87.483 eV for the cell shown
* crystal system: orthorhombic
* SG: No. 47



[2]
LiSiOs at its PBEsol-relaxed geometry, computed with meta-GGA SCAN.

Unit cell a=3.0760 b=3.0760 c=4.3900 alpha=110.51 beta=110.51 gamma=90.00
Positions (direct):
Si 0.3269 0.3269 0.6539
Os 0.6716 0.6716 0.3431
Li 0.0015 0.0015 0.0030

* crystal system: tetragonal
* energy above the most stable polymorph in this dataset: 0.0000 eV per atom
* SG: No. 107



[3]
Li2SiOs at its PBEsol-relaxed geometry, computed with meta-GGA SCAN.

Unit cell a=2.8260 b=3.9934 c=5.1143 alpha=112.98 beta=106.04 gamma=90.00
Last column: magnetic moment on the atom in μB.
Positions (direct):
Si 0.0000 0.5000 0.0000  -0.01
Os 0.5000 0.0000 0.0000  0.35
Li 0.7456 0.7456 0.4912  0.01
Li 0.2544 0.2544 0.5088  0.01

* VASP energy: -87.544 eV for the cell shown
* crystal system: orthorhombic
* SG: No. 71



[4]
LiSm2Os at its PBEsol-relaxed geometry, computed with meta-GGA SCAN.

Unit cell a=4.9227 b=4.9227 c=4.9227 alpha=60.00 beta=60.00 gamma=60.00
Positions (direct):
Os 0.0000 0.0000 0.0000
Sm 0.2500 0.2500 0.2500
Sm 0.7500 0.7500 0.7500
Li 0.5000 0.5000 0.5000

* crystal system: cubic
* calculated formation energy: -91 kJ/mol of formula units
* SG: No. 225



[5]
Li2SnOs at its PBEsol-relaxed geometry, computed with meta-GGA SCAN.

Unit cell a=5.1421 b=5.6028 c=5.6028 alpha=77.84 beta=62.68 gamma=62.68
Positions (direct):
Os 0.0000 0.0000 0.0000
Os 0.7500 0.5000 0.5000
Sn 0.5000 0.0000 0.0000
Sn 0.2500 0.5000 0.5000
Li 0.8750 0.0151 0.4849
Li 0.3750 0.9849 0.5151
Li 0.6401 0.4849 0.9849
Li 0.1099 0.5151 0.0151

* crystal system: tetragonal
* calculated formation energy: 149 kJ/mol of formula units
* SG: No. 122



[6]
SrLiOs2 at its PBEsol-relaxed geometry, computed with meta-GGA SCAN.

Unit cell a=2.7955 b=4.7561 c=5.6857 alpha=113.57 beta=102.39 gamma=94.29
Positions (direct):
Li 0.5000 0.0000 0.0000
Os 0.5000 0.5000 0.5000
Os 0.0000 0.0000 0.5000
Sr 0.0000 0.5000 0.0000

* crystal system: monoclinic
* calculated formation energy: 276 kJ/mol of formula units
* energy above the most stable polymorph in this dataset: 0.0000 eV per atom
* SG: No. 12



[7]
SrLiOs2 at its PBEsol-relaxed geometry, computed with meta-GGA SCAN.

Unit cell a=2.7803 b=5.0862 c=5.5105 alpha=117.48 beta=90.00 gamma=90.00
Positions (direct):
Li 0.5000 0.5000 0.0000
Os 0.0000 0.0000 0.5000
Os 0.0000 0.5000 0.5000
Sr 0.5000 0.0000 0.0000

* crystal system: orthorhombic
* calculated formation energy: 313 kJ/mol of formula units
* energy above the most stable polymorph in this dataset: 0.0936 eV per atom
* SG: No. 65



[8]
Sr2LiOs at its PBEsol-relaxed geometry, computed with meta-GGA SCAN.

Unit cell a=5.0716 b=5.0716 c=5.0716 alpha=60.00 beta=60.00 gamma=60.00
Positions (direct):
Li 0.5000 0.5000 0.5000
Os 0.2500 0.2500 0.2500
Sr 0.0000 0.0000 0.0000
Sr 0.7500 0.7500 0.7500

* crystal system: cubic
* calculated formation energy: 279 kJ/mol of formula units
* SG: No. 216



[9]
Sr2LiOs at its PBEsol-relaxed geometry, computed with meta-GGA SCAN.

Unit cell a=3.5792 b=5.3160 c=5.9317 alpha=108.15 beta=107.56 gamma=90.00
Positions (direct):
Li 0.5613 0.5456 0.1226
Os 0.2246 0.7630 0.4492
Sr 0.9579 0.9208 0.9158
Sr 0.7562 0.2706 0.5124

* crystal system: monoclinic
* calculated formation energy: 213 kJ/mol of formula units
* SG: No. 8



[10]
SrLiOs3 at its PBEsol-relaxed geometry, computed with meta-GGA SCAN.

Unit cell a=4.8525 b=4.8525 c=4.8525 alpha=90.00 beta=90.00 gamma=90.00
Last column: magnetic moment on the atom in μB.
Positions (direct):
Sr 0.0000 0.0000 0.0000  -0.03
Os 0.0000 0.5000 0.0000  0.82
Os 0.0000 0.0000 0.5000  0.82
Os 0.5000 0.0000 0.0000  0.82
Li 0.5000 0.5000 0.5000  0.00

* crystal system: cubic
* calculated formation energy: 1734 kJ/mol of formula units
* SG: No. 221



[11]
LiTa2Os at its PBEsol-relaxed geometry, computed with meta-GGA SCAN.

Unit cell a=3.1818 b=3.1818 c=5.9779 alpha=90.00 beta=90.00 gamma=90.00
Positions (direct):
Li 0.0000 0.0000 0.5221
Os 0.5000 0.5000 0.7264
Ta 0.0000 0.0000 0.9765
Ta 0.5000 0.5000 0.2750

* crystal system: tetragonal
* calculated formation energy: 15 kJ/mol of formula units
* SG: No. 99



[12]
LiTcOs2 at its PBEsol-relaxed geometry, computed with meta-GGA SCAN.

Unit cell a=2.6349 b=2.6349 c=9.0572 alpha=90.00 beta=90.00 gamma=116.57
Positions (direct):
Li 0.5000 0.5000 0.0000
Os 0.0000 0.0000 0.2533
Os 0.0000 0.0000 0.7467
Tc 0.5000 0.5000 0.5000

* crystal system: orthorhombic
* calculated formation energy: 119 kJ/mol of formula units
* energy above the most stable polymorph in this dataset: 0.1114 eV per atom
* SG: No. 65